(1)
The following is a DFT calculation (PBE-GGA) of crystalline ScBi3Rh at its relaxed geometry.

Cell lengths 5.312, 5.312, 5.312 Å; angles 90.00, 90.00, 90.00 degrees
Atoms (fractional coordinates):
Sc (0.500, 0.500, 0.500)
Bi (0.500, 0.000, 0.000)
Bi (0.000, 0.000, 0.500)
Rh (0.000, 0.000, 0.000)
Bi (0.000, 0.500, 0.000)

Results
Calculated formation energy   0.251 eV/atom
Raw total energy   -4.814 eV/atom
Space group   Pm-3m, No. 221
Magnetization   0.00 μB/f.u.

(2)
The following is a DFT calculation (PBE-GGA) of crystalline Hf9FeMo4 at its relaxed geometry.

Cell lengths 8.665, 8.665, 8.452 Å; angles 90.00, 90.00, 120.00 degrees
Atoms (fractional coordinates):
Fe (0.667, 0.333, 0.750)
Hf (0.202, 0.405, 0.441)
Hf (0.917, 0.459, 0.250)
Mo (0.775, 0.888, 0.750)
Mo (0.888, 0.112, 0.250)
Hf (0.798, 0.202, 0.559)
Hf (0.595, 0.798, 0.441)
Mo (0.225, 0.112, 0.250)
Hf (0.798, 0.595, 0.559)
Hf (0.595, 0.798, 0.059)
Fe (0.333, 0.667, 0.250)
Hf (0.798, 0.202, 0.941)
Hf (0.459, 0.917, 0.750)
Mo (0.888, 0.775, 0.250)
Hf (0.459, 0.541, 0.750)
Hf (0.405, 0.202, 0.559)
Mo (0.000, 0.000, 0.500)
Hf (0.405, 0.202, 0.941)
Hf (0.202, 0.405, 0.059)
Hf (0.541, 0.083, 0.250)
Hf (0.202, 0.798, 0.059)
Mo (0.112, 0.225, 0.750)
Mo (0.000, 0.000, 0.000)
Hf (0.541, 0.459, 0.250)
Hf (0.202, 0.798, 0.441)
Hf (0.083, 0.541, 0.750)
Hf (0.798, 0.595, 0.941)
Mo (0.112, 0.888, 0.750)

Results
Calculated formation energy   -0.149 eV/atom
Raw total energy   -10.247 eV/atom
Space group   P6_3/mmc, No. 194
Magnetization   0.00 μB/f.u.

(3)
The following is a DFT calculation (PBE-GGA) of crystalline Ta2ReRh at its relaxed geometry.

Cell lengths 9.354, 9.354, 9.354 Å; angles 17.64, 17.64, 17.64 degrees
Atoms (fractional coordinates):
Rh (0.000, 0.000, 0.000)
Ta (0.748, 0.748, 0.748)
Re (0.500, 0.500, 0.500)
Ta (0.252, 0.252, 0.252)

Results
Calculated formation energy   0.001 eV/atom
Raw total energy   -10.875 eV/atom
Space group   R-3m, No. 166
Magnetization   0.00 μB/f.u.

(4)
The following is a DFT calculation (PBE-GGA) of crystalline K2Ta2VSe6 at its relaxed geometry.

Cell lengths 6.372, 6.372, 8.257 Å; angles 96.04, 96.04, 120.30 degrees
Last column: magnetic moment on the atom in μB.
Atoms (fractional coordinates):
K (0.821, 0.179, 0.000)  0.00
Se (0.741, 0.741, 0.715)  -0.01
K (0.179, 0.821, 0.000)  0.00
Ta (0.365, 0.635, 0.500)  0.04
Se (0.044, 0.386, 0.678)  -0.01
V (0.000, 0.000, 0.500)  1.94
Ta (0.635, 0.365, 0.500)  0.04
Se (0.956, 0.614, 0.322)  -0.01
Se (0.386, 0.044, 0.678)  -0.01
Se (0.259, 0.259, 0.285)  -0.01
Se (0.614, 0.956, 0.322)  -0.01

Results
Raw total energy   -5.983 eV/atom
Space group   C2/m, No. 12
Magnetization   2.25 μB/f.u.
Formation energy from raw total energies   -898 meV per atom

(5)
The following is a DFT calculation (PBE-GGA) of crystalline ScSBr3 at its relaxed geometry.

Cell lengths 5.304, 5.304, 5.304 Å; angles 90.00, 90.00, 90.00 degrees
Last column: magnetic moment on the atom in μB.
Atoms (fractional coordinates):
Br (0.000, 0.000, 0.500)  0.08
Br (0.000, 0.500, 0.000)  0.03
Br (0.500, 0.000, 0.000)  0.05
Sc (0.000, 0.000, 0.000)  0.01
S (0.500, 0.500, 0.500)  1.07

Results
Raw total energy   -3.728 eV/atom
Space group   Pm-3m, No. 221
Magnetization   2.00 μB/f.u.
Formation energy from raw total energies   -633 meV per atom

(6)
The following is a DFT calculation (PBE-GGA) of crystalline Pm2Pt15Rh2 at its relaxed geometry.

Cell lengths 6.973, 6.973, 6.973 Å; angles 83.02, 83.02, 83.02 degrees
Atoms (fractional coordinates):
Pt (0.000, 0.500, 0.000)
Pt (0.652, 0.158, 0.652)
Rh (0.900, 0.900, 0.900)
Pt (0.306, 0.000, 0.694)
Pt (0.000, 0.000, 0.500)
Pm (0.666, 0.666, 0.666)
Pt (0.348, 0.348, 0.842)
Pt (0.500, 0.000, 0.000)
Pt (0.694, 0.000, 0.306)
Pt (0.842, 0.348, 0.348)
Rh (0.100, 0.100, 0.100)
Pt (0.158, 0.652, 0.652)
Pt (0.000, 0.306, 0.694)
Pt (0.348, 0.842, 0.348)
Pt (0.000, 0.694, 0.306)
Pm (0.334, 0.334, 0.334)
Pt (0.694, 0.306, 0.000)
Pt (0.652, 0.652, 0.158)
Pt (0.306, 0.694, 0.000)

Results
Calculated formation energy   -0.381 eV/atom
Raw total energy   -6.424 eV/atom
Space group   R-3m, No. 166
Magnetization   0.00 μB/f.u.

(7)
The following is a DFT calculation (PBE-GGA) of crystalline Zr2TaTl at its relaxed geometry.

Cell lengths 4.637, 4.637, 3.965 Å; angles 90.00, 90.00, 90.00 degrees
Atoms (fractional coordinates):
Tl (0.000, 0.500, 0.500)
Ta (0.500, 0.000, 0.500)
Zr (0.500, 0.500, 0.000)
Zr (0.000, 0.000, 0.000)

Results
Calculated formation energy   0.078 eV/atom
Raw total energy   -7.751 eV/atom
Space group   P4/mmm, No. 123
Magnetization   0.00 μB/f.u.

(8)
The following is a DFT calculation (PBE-GGA) of crystalline Pm8HoEr6 at its relaxed geometry.

Cell lengths 9.775, 9.775, 8.208 Å; angles 53.45, 53.45, 60.00 degrees
Atoms (fractional coordinates):
Pm (0.068, 0.644, 0.515)
Pm (0.356, 0.226, 0.485)
Pm (0.932, 0.356, 0.485)
Er (0.929, 0.714, 0.967)
Pm (0.587, 0.587, 0.239)
Er (0.286, 0.610, 0.033)
Er (0.714, 0.390, 0.967)
Er (0.610, 0.071, 0.033)
Pm (0.413, 0.413, 0.761)
Er (0.071, 0.286, 0.033)
Ho (0.000, 0.000, 0.000)
Pm (0.226, 0.932, 0.485)
Pm (0.644, 0.774, 0.515)
Er (0.390, 0.929, 0.967)
Pm (0.774, 0.068, 0.515)

Results
Calculated formation energy   0.178 eV/atom
Raw total energy   -4.486 eV/atom
Space group   R-3, No. 148
Magnetization   0.00 μB/f.u.

(9)
The following is a DFT calculation (PBE-GGA) of crystalline BC2 at its relaxed geometry.

Cell lengths 5.946, 5.946, 5.296 Å; angles 102.70, 102.70, 25.25 degrees
Atoms (fractional coordinates):
C (0.591, 0.591, 0.043)
C (0.248, 0.248, 0.886)
C (0.917, 0.917, 0.693)
C (0.670, 0.670, 0.841)
C (0.990, 0.990, 0.493)
C (0.662, 0.662, 0.321)
B (0.350, 0.350, 0.725)
B (0.234, 0.234, 0.322)
B (0.997, 0.997, 0.998)
C (0.915, 0.915, 0.215)
B (0.588, 0.588, 0.547)
C (0.338, 0.338, 0.167)

Results
Calculated formation energy   0.305 eV/atom
Raw total energy   -8.070 eV/atom
Space group   Cm, No. 8
Magnetization   0.00 μB/f.u.

(10)
The following is a DFT calculation (PBE-GGA) of crystalline Ac3Tm12Pa5 at its relaxed geometry.

Cell lengths 16.178, 16.178, 16.178 Å; angles 109.47, 109.47, 109.47 degrees
Last column: magnetic moment on the atom in μB.
Atoms (fractional coordinates):
Pa (0.250, 0.375, 0.625)  -1.42
Ac (0.750, 0.875, 0.625)  -0.06
Tm (0.553, 0.005, 0.685)  -0.12
Pa (0.750, 0.125, 0.875)  -1.42
Tm (0.495, 0.181, 0.048)  -0.12
Ac (0.625, 0.250, 0.375)  -0.06
Tm (0.548, 0.553, 0.867)  -0.12
Pa (0.875, 0.625, 0.750)  -1.42
Tm (0.495, 0.315, 0.947)  -0.12
Tm (0.819, 0.505, 0.452)  -0.12
Pa (0.000, 0.000, 0.500)  0.46
Ac (0.250, 0.625, 0.875)  -0.06
Tm (0.005, 0.452, 0.319)  -0.12
Tm (0.815, 0.867, 0.319)  -0.12
Tm (0.815, 0.947, 0.995)  -0.12
Tm (0.447, 0.452, 0.633)  -0.12
Tm (0.553, 0.548, 0.367)  -0.12
Tm (0.947, 0.133, 0.952)  -0.12
Tm (0.685, 0.181, 0.633)  -0.12
Tm (0.053, 0.867, 0.048)  -0.12
Tm (0.633, 0.952, 0.447)  -0.12
Tm (0.181, 0.495, 0.548)  -0.12
Pa (0.000, 0.500, 0.500)  0.46
Tm (0.452, 0.447, 0.133)  -0.12
Tm (0.633, 0.681, 0.685)  -0.12
Tm (0.319, 0.952, 0.005)  -0.12
Tm (0.185, 0.053, 0.005)  -0.12
Pa (0.000, 0.000, 0.000)  0.46
Tm (0.181, 0.685, 0.133)  -0.12
Tm (0.947, 0.815, 0.495)  -0.12
Pa (0.875, 0.250, 0.625)  -1.42
Tm (0.681, 0.048, 0.995)  -0.12
Tm (0.315, 0.495, 0.447)  -0.12
Tm (0.053, 0.185, 0.505)  -0.12
Tm (0.819, 0.315, 0.867)  -0.12
Pa (0.125, 0.750, 0.375)  -1.42
Tm (0.048, 0.367, 0.053)  -0.12
Pa (0.750, 0.625, 0.375)  -1.42
Tm (0.952, 0.633, 0.947)  -0.12
Tm (0.505, 0.819, 0.952)  -0.12
Pa (0.625, 0.750, 0.875)  -1.42
Ac (0.250, 0.125, 0.375)  -0.06
Tm (0.995, 0.447, 0.815)  -0.12
Ac (0.625, 0.375, 0.750)  -0.06
Tm (0.447, 0.995, 0.315)  -0.12
Ac (0.125, 0.250, 0.875)  -0.06
Pa (0.500, 0.000, 0.500)  0.46
Tm (0.133, 0.947, 0.452)  -0.12
Pa (0.500, 0.500, 0.500)  0.46
Pa (0.000, 0.500, 0.000)  0.46
Tm (0.952, 0.319, 0.505)  -0.12
Pa (0.625, 0.875, 0.250)  -1.42
Tm (0.133, 0.185, 0.181)  -0.12
Tm (0.505, 0.685, 0.053)  -0.12
Tm (0.452, 0.005, 0.819)  -0.12
Tm (0.367, 0.319, 0.315)  -0.12
Tm (0.995, 0.548, 0.681)  -0.12
Tm (0.867, 0.815, 0.819)  -0.12
Pa (0.250, 0.875, 0.125)  -1.42
Ac (0.375, 0.750, 0.625)  -0.06
Tm (0.005, 0.553, 0.185)  -0.12
Tm (0.367, 0.048, 0.553)  -0.12
Ac (0.875, 0.125, 0.250)  -0.06
Tm (0.185, 0.133, 0.681)  -0.12
Pa (0.125, 0.375, 0.250)  -1.42
Tm (0.548, 0.995, 0.181)  -0.12
Ac (0.875, 0.750, 0.125)  -0.06
Pa (0.500, 0.000, 0.000)  0.46
Pa (0.375, 0.250, 0.125)  -1.42
Tm (0.315, 0.819, 0.367)  -0.12
Tm (0.867, 0.053, 0.548)  -0.12
Tm (0.048, 0.681, 0.495)  -0.12
Tm (0.685, 0.505, 0.553)  -0.12
Ac (0.375, 0.625, 0.250)  -0.06
Pa (0.500, 0.500, 0.000)  0.46
Ac (0.125, 0.875, 0.750)  -0.06
Tm (0.681, 0.633, 0.185)  -0.12
Pa (0.375, 0.125, 0.750)  -1.42
Ac (0.750, 0.375, 0.125)  -0.06
Tm (0.319, 0.367, 0.815)  -0.12

Results
Calculated formation energy   1.400 eV/atom
Raw total energy   -4.273 eV/atom
Space group   Ia-3d, No. 230
Magnetization   6.49 μB/f.u.

(11)
The following is a DFT calculation (PBE-GGA) of crystalline RuC at its relaxed geometry.

Cell lengths 2.930, 2.930, 2.691 Å; angles 90.00, 90.00, 120.00 degrees
Atoms (fractional coordinates):
Ru (0.667, 0.333, 0.500)
C (0.000, 0.000, 0.000)

Results
Calculated formation energy   0.654 eV/atom
Raw total energy   -8.596 eV/atom
Space group   P-6m2, No. 187
Magnetization   0.00 μB/f.u.

(12)
The following is a DFT calculation (PBE-GGA) of crystalline PtAu3I at its relaxed geometry.

Cell lengths 5.129, 5.129, 5.129 Å; angles 90.00, 90.00, 90.00 degrees
Atoms (fractional coordinates):
Pt (0.000, 0.000, 0.000)
Au (0.000, 0.000, 0.500)
Au (0.000, 0.500, 0.000)
Au (0.500, 0.000, 0.000)
I (0.500, 0.500, 0.500)

Results
Raw total energy   -2.769 eV/atom
Space group   Pm-3m, No. 221
Magnetization   0.00 μB/f.u.
Formation energy from raw total energies   715 meV per atom